First-principles (PBE) data for a relaxed structure of PmSm3Ir2, as listed in Alexandria via LeMat-Bulk.

a = 6.9480 Å, b = 13.8718 Å, c = 7.1733 Å
α = 90.00°, β = 90.00°, γ = 90.00°
Space group Ibam (No. 72)
One atom of each set of equivalent atoms:
Pm  0.0000  0.0000  0.0000 (multiplicity 4)
Sm  0.0000  0.2372  0.2500 (multiplicity 8)
Sm  0.0000  0.5000  0.2500 (multiplicity 4)
Ir  0.2133  0.3623  0.0000 (multiplicity 8)

D(E_F) = 0.9601 states/eV per atom
Calculated formation energy = -0.537 eV/atom